[1]
The following is a DFT calculation (GGA-PBE) of an optimized crystal structure of YCIO2.

a b c (Å): 4.209 4.209 4.216
angles (deg): 90.00 90.00 90.00
Positions (direct):
Y 0.000 0.000 0.000
C 0.500 0.500 0.500
I 0.500 0.500 0.000
O 0.000 0.500 0.500
O 0.500 0.000 0.500

=====

[2]
The following is a DFT calculation (GGA-PBE) of an optimized crystal structure of YCIO2.

a b c (Å): 4.176 4.176 6.881
angles (deg): 90.00 90.00 90.00
Positions (direct):
Y 0.000 0.000 0.000
C 0.500 0.500 0.500
I 0.000 0.000 0.500
O 0.000 0.500 0.000
O 0.500 0.000 0.000

=====

[3]
The following is a DFT calculation (GGA-PBE) of an optimized crystal structure of Y9C4I8O.

a b c (Å): 3.863 29.056 11.960
angles (deg): 90.00 90.00 90.00
Positions (direct):
Y 0.250 0.030 0.094
Y 0.250 0.078 0.831
Y 0.250 0.250 0.946
Y 0.250 0.422 0.831
Y 0.250 0.470 0.094
Y 0.250 0.637 0.978
Y 0.250 0.684 0.233
Y 0.250 0.816 0.233
Y 0.250 0.863 0.978
Y 0.750 0.137 0.022
Y 0.750 0.184 0.767
Y 0.750 0.316 0.767
Y 0.750 0.363 0.022
Y 0.750 0.530 0.906
Y 0.750 0.578 0.169
Y 0.750 0.750 0.054
Y 0.750 0.922 0.169
Y 0.750 0.970 0.906
C 0.250 0.162 0.888
C 0.250 0.338 0.888
C 0.250 0.555 0.037
C 0.250 0.945 0.037
C 0.750 0.055 0.963
C 0.750 0.445 0.963
C 0.750 0.662 0.112
C 0.750 0.838 0.112
I 0.250 0.129 0.222
I 0.250 0.250 0.606
I 0.250 0.371 0.222
I 0.250 0.515 0.703
I 0.250 0.600 0.382
I 0.250 0.750 0.853
I 0.250 0.900 0.382
I 0.250 0.985 0.703
I 0.750 0.015 0.297
I 0.750 0.100 0.618
I 0.750 0.250 0.147
I 0.750 0.400 0.618
I 0.750 0.485 0.297
I 0.750 0.629 0.778
I 0.750 0.750 0.394
I 0.750 0.871 0.778
O 0.250 0.750 0.146
O 0.750 0.250 0.854

=====

[4]
The following is a DFT calculation (GGA-PBE) of an optimized crystal structure of ZrCIO2.

a b c (Å): 4.018 4.018 6.488
angles (deg): 90.00 90.00 90.00
Positions (direct):
Zr 0.000 0.000 0.000
C 0.500 0.500 0.500
I 0.000 0.000 0.500
O 0.000 0.500 0.000
O 0.500 0.000 0.000

=====

[5]
The following is a DFT calculation (GGA-PBE) of an optimized crystal structure of ZrCIO2.

a b c (Å): 4.051 4.051 4.247
angles (deg): 90.00 90.00 90.00
Positions (direct):
Zr 0.000 0.000 0.000
C 0.500 0.500 0.500
I 0.500 0.500 0.000
O 0.000 0.500 0.500
O 0.500 0.000 0.500

=====

[6]
The following is a DFT calculation (GGA-PBE) of an optimized crystal structure of Os2CI.

a b c (Å): 5.116 5.116 10.814
angles (deg): 90.00 90.00 90.00
Positions (direct):
Os 0.141 0.250 0.125
Os 0.250 0.641 0.375
Os 0.250 0.859 0.875
Os 0.359 0.250 0.625
Os 0.641 0.750 0.625
Os 0.750 0.141 0.875
Os 0.750 0.359 0.375
Os 0.859 0.750 0.125
C 0.000 0.000 0.000
C 0.000 0.500 0.250
C 0.500 0.000 0.750
C 0.500 0.500 0.500
I 0.000 0.000 0.500
I 0.000 0.500 0.750
I 0.500 0.000 0.250
I 0.500 0.500 0.000

=====

[7]
The following is a DFT calculation (GGA-PBE) of an optimized crystal structure of OsCI2.

a b c (Å): 6.673 6.673 6.673
angles (deg): 90.00 90.00 90.00
Positions (direct):
Os 0.000 0.000 0.000
Os 0.000 0.500 0.500
Os 0.500 0.000 0.500
Os 0.500 0.500 0.000
C 0.000 0.000 0.500
C 0.000 0.500 0.000
C 0.500 0.000 0.000
C 0.500 0.500 0.500
I 0.250 0.250 0.250
I 0.250 0.250 0.750
I 0.250 0.750 0.250
I 0.250 0.750 0.750
I 0.750 0.250 0.250
I 0.750 0.250 0.750
I 0.750 0.750 0.250
I 0.750 0.750 0.750

=====

[8]
The following is a DFT calculation (GGA-PBE) of an optimized crystal structure of Os2CI.

a b c (Å): 6.158 6.158 6.158
angles (deg): 90.00 90.00 90.00
Positions (direct):
Os 0.250 0.250 0.250
Os 0.250 0.250 0.750
Os 0.250 0.750 0.250
Os 0.250 0.750 0.750
Os 0.750 0.250 0.250
Os 0.750 0.250 0.750
Os 0.750 0.750 0.250
Os 0.750 0.750 0.750
C 0.000 0.000 0.000
C 0.000 0.500 0.500
C 0.500 0.000 0.500
C 0.500 0.500 0.000
I 0.000 0.000 0.500
I 0.000 0.500 0.000
I 0.500 0.000 0.000
I 0.500 0.500 0.500

=====

[9]
The following is a DFT calculation (GGA-PBE) of an optimized crystal structure of OsCI2.

a b c (Å): 5.672 5.672 12.106
angles (deg): 90.00 90.00 90.00
Positions (direct):
Os 0.000 0.000 0.000
Os 0.000 0.500 0.250
Os 0.500 0.000 0.750
Os 0.500 0.500 0.500
C 0.000 0.000 0.500
C 0.000 0.500 0.750
C 0.500 0.000 0.250
C 0.500 0.500 0.000
I 0.237 0.250 0.625
I 0.250 0.737 0.875
I 0.250 0.763 0.375
I 0.263 0.250 0.125
I 0.737 0.750 0.125
I 0.750 0.237 0.375
I 0.750 0.263 0.875
I 0.763 0.750 0.625

=====

[10]
The following is a DFT calculation (GGA-PBE) of an optimized crystal structure of Pr6Os2CI3.

a b c (Å): 7.188 7.188 8.423
angles (deg): 98.23 98.23 119.89
Positions (direct):
Pr 0.059 0.374 0.178
Pr 0.255 0.255 0.821
Pr 0.374 0.059 0.178
Pr 0.626 0.941 0.822
Pr 0.745 0.745 0.179
Pr 0.941 0.626 0.822
Os 0.333 0.667 0.000
Os 0.667 0.333 0.000
C 0.000 0.000 0.000
I 0.168 0.832 0.500
I 0.500 0.500 0.500
I 0.832 0.168 0.500

=====

[11]
The following is a DFT calculation (GGA-PBE) of an optimized crystal structure of Te2OsCI.

a b c (Å): 5.111 5.111 5.778
angles (deg): 90.00 90.00 90.00
Positions (direct):
Te 0.000 0.500 0.000
Te 0.500 0.000 0.000
Os 0.000 0.000 0.000
C 0.500 0.500 0.500
I 0.000 0.000 0.500

=====

[12]
The following is a DFT calculation (GGA-PBE) of an optimized crystal structure of Te2OsCI.

a b c (Å): 4.637 4.637 4.682
angles (deg): 90.00 90.00 90.00
Positions (direct):
Te 0.000 0.500 0.000
Te 0.500 0.000 0.000
Os 0.000 0.000 0.500
C 0.500 0.500 0.000
I 0.500 0.500 0.500

=====

Record-wise formation energy (no corrections) values, in eV per atom: 0.22 0.18 -1.21 -0.31 0.74 1.09 2.37 2.20 2.08 -0.54 1.96 1.83